VASP calculation (PBE) on BaYReRu2 after structural relaxation.

- Formation enthalpy at 0 K: 1.09 eV/atom

a = 4.832 Å, b = 4.832 Å, c = 5.402 Å
α = 90.00°, β = 90.00°, γ = 90.00°
Space group P4/mmm (No. 123)
Asymmetric unit:
Ba: 0.000 0.000 0.000 (multiplicity 1)
Y: 0.500 0.500 0.000 (multiplicity 1)
Re: 0.000 0.000 0.500 (multiplicity 1)
Ru: 0.000 0.500 0.500 (multiplicity 2)

***

VASP calculation (PBE) on BaReS3 after structural relaxation.

- Formation energy (no corrections): -3.79 eV per formula unit
- E above lowest polymorph: 0.105 eV/atom

a = 4.773 Å, b = 4.773 Å, c = 4.773 Å
α = 90.00°, β = 90.00°, γ = 90.00°
Space group Pm-3m (No. 221)
Asymmetric unit:
Ba: 0.000 0.000 0.000 (multiplicity 1)
Re: 0.500 0.500 0.500 (multiplicity 1)
S: 0.000 0.500 0.500 (multiplicity 3)

***

VASP calculation (PBE) on Ba2Re6S11 after structural relaxation.

- Formation energy (no corrections): -16.77 eV per formula unit

a = 9.3089 Å, b = 9.3089 Å, c = 32.3030 Å
α = 90.00°, β = 90.00°, γ = 120.00°
Space group R-3c (No. 167, hexagonal axes)
Asymmetric unit:
Ba: 0.0000 0.0000 0.1886 (multiplicity 12)
Re: 0.0227 0.1736 0.4662 (multiplicity 36)
S: 0.0000 0.0000 0.0909 (multiplicity 12)
S: 0.0000 0.2676 0.7500 (multiplicity 18)
S: 0.0132 0.3893 0.1969 (multiplicity 36)

***

VASP calculation (PBE) on BaRe2S2 after structural relaxation.

- Formation energy (no corrections): -1.76 eV per formula unit
- E above lowest polymorph: 0.000 eV/atom

a = 4.101 Å, b = 4.101 Å, c = 12.142 Å
α = 90.00°, β = 90.00°, γ = 90.00°
Space group I4/mmm (No. 139)
Asymmetric unit:
Ba: 0.000 0.000 0.000 (multiplicity 2)
Re: 0.000 0.500 0.250 (multiplicity 4)
S: 0.000 0.000 0.346 (multiplicity 4)